[1]
MnCdMo2 | GGA-PBEsol | optimized geometry

* space group: P4/mmm (123)
* energy of formation from the pure elements: 0.389 eV/atom
* final energy: -8.235 eV per atom
* spin magnetization: 1.14 μB per cell

Unit cell a=3.2347 b=3.2347 c=5.9297 alpha=90.00 beta=90.00 gamma=90.00
Last column: magnetic moment on the atom in μB.
Element x y z (fractional)
1 Mo 0.0000 0.0000 0.6965  -0.14
2 Mo 0.0000 0.0000 0.3035  -0.14
3 Mn 0.5000 0.5000 0.5000  1.41
4 Cd 0.5000 0.5000 0.0000  -0.01

=====

[2]
NiMoSe2 | GGA-PBEsol | optimized geometry

* relative energy among the computed polymorphs: 166 meV/atom
* space group: R-3m (166)
* final energy: -6.130 eV per atom
* formation energy from raw total energies: 277 meV per atom
* spin magnetization: 0.00 μB per cell

Unit cell a=3.1666 b=3.1666 c=7.9992 alpha=78.58 beta=78.58 gamma=60.00
Element x y z (fractional)
1 Se 0.1027 0.1027 0.6920
2 Se 0.8973 0.8973 0.3080
3 Mo 0.0000 0.0000 0.0000
4 Ni 0.5000 0.5000 0.5000

=====

[3]
LiTaIn | GGA-PBEsol | optimized geometry

* space group: F-43m (216)
* energy of formation from the pure elements: 0.798 eV/atom
* final energy: -5.036 eV per atom
* spin magnetization: 0.00 μB per cell

Unit cell a=4.2304 b=4.2304 c=4.2304 alpha=60.00 beta=60.00 gamma=60.00
Element x y z (fractional)
1 In 0.5000 0.5000 0.5000
2 Li 0.2500 0.2500 0.2500
3 Ta 0.0000 0.0000 0.0000